# 1
# K6MgHg

Crystalline K6MgHg at its relaxed geometry (GGA-PBE, the Alexandria database).

Results
**ΔE_f**: -19 meV/atom
**Space-group type**: Amm2
**Density**: 1.6 Mg/m³
**Total DFT energy (no corrections)**: -1.0788 eV per atom

Lattice parameters (Å, degrees): 4.7819 9.8946 9.8946 84.81 90.00 90.00
Fractional coordinates of all 8 atoms:
K1 0.0000 0.0000 0.0000
K2 0.0000 0.5533 0.8782
K3 0.0000 0.8782 0.5533
K4 0.5000 0.2410 0.6944
K5 0.5000 0.2621 0.2621
K6 0.5000 0.6944 0.2410
Mg1 0.0000 0.4846 0.4846
Hg1 0.5000 0.5963 0.5963


# 2
# KMg2Hg

Crystalline KMg2Hg at its relaxed geometry (GGA-PBE, the Alexandria database).

Results
**ΔE_f**: -24 meV/atom
**Space-group type**: P4mm
**Density**: 4.1 Mg/m³
**Total DFT energy (no corrections)**: -1.1709 eV per atom

Lattice parameters (Å, degrees): 3.6618 3.6618 8.7630 90.00 90.00 90.00
Fractional coordinates of all 4 atoms:
K1 0.0000 0.0000 0.0000
Mg1 0.0000 0.0000 0.5441
Mg2 0.5000 0.5000 0.3355
Hg1 0.5000 0.5000 0.7144